# 1
Entry from Alexandria via LeMat-Bulk: a relaxed SrBe2Tl crystal (PBE).

Results
* V: 89.10 Å³ per cell
* ρ: 5.78 g/cm3
* DFT total energy: -2.307 eV/atom
* magnetic moment: 0.00 μB/atom

Unit cell a=3.5563 b=3.6776 c=6.8124 alpha=90.00 beta=90.00 gamma=90.00
Space group Pmmm (No. 47)
Unique sites:
Sr  0.0000  0.0000  0.0000 (multiplicity 1)
Be  0.5000  0.5000  0.3284 (multiplicity 2)
Tl  0.0000  0.0000  0.5000 (multiplicity 1)


# 2
Entry from Alexandria via LeMat-Bulk: a relaxed SrBeTl2 crystal (PBE).

Results
* V: 221.47 Å³ per cell
* ρ: 7.58 g/cm3
* DFT total energy: -2.378 eV/atom
* magnetic moment: 0.00 μB/atom

Unit cell a=4.0955 b=6.0761 c=8.9000 alpha=90.00 beta=90.00 gamma=90.00
Space group Immm (No. 71)
Unique sites:
Sr  0.0000  0.0000  0.0000 (multiplicity 2)
Be  0.0000  0.0000  0.5000 (multiplicity 2)
Tl  0.0000  0.5000  0.1960 (multiplicity 4)


# 3
Entry from Alexandria via LeMat-Bulk: a relaxed SrBeTl2 crystal (PBE).

Results
* V: 108.35 Å³ per cell
* ρ: 7.75 g/cm3
* DFT total energy: -2.277 eV/atom
* magnetic moment: 0.00 μB/atom

Unit cell a=4.7471 b=4.7471 c=4.8083 alpha=90.00 beta=90.00 gamma=90.00
Space group P4/mmm (No. 123)
Unique sites:
Sr  0.0000  0.0000  0.0000 (multiplicity 1)
Be  0.5000  0.5000  0.0000 (multiplicity 1)
Tl  0.0000  0.5000  0.5000 (multiplicity 2)


# 4
Entry from Alexandria via LeMat-Bulk: a relaxed SrBe2Tl crystal (PBE).

Results
* V: 261.58 Å³ per cell
* ρ: 5.90 g/cm3
* DFT total energy: -2.684 eV/atom
* magnetic moment: 0.00 μB/atom

Unit cell a=4.1028 b=4.1028 c=17.9413 alpha=90.00 beta=90.00 gamma=120.00
Space group R3m (No. 160, hexagonal axes)
Unique sites:
Sr  0.0000  0.0000  0.0000 (multiplicity 3)
Be  0.0000  0.0000  0.2055 (multiplicity 3)
Be  0.0000  0.0000  0.5384 (multiplicity 3)
Tl  0.0000  0.0000  0.8033 (multiplicity 3)


Q: Which of these has the highest V?
A: number 4


Q: The highest V belongs to which entry?
A: number 4


Q: V of number 3 (SrBeTl2)?
A: 108.35 Å³ per cell


Q: Which value of magnetic moment does entry 2 give?
A: 0.00 μB/atom